Computed, not measured: an optimized crystal structure of LuHg at the PBE level of DFT.

Energy = -2.876 eV/atom

Cell lengths 3.623, 3.623, 3.623 Å; angles 90.00, 90.00, 90.00 degrees
Element x y z (fractional)
Lu 0.000 0.000 0.000
Hg 0.500 0.500 0.500



Computed, not measured: an optimized crystal structure of LiHfCuSb at the PBE level of DFT.

Energy = -4.793 eV/atom
Polymorph energy (0 for the lowest one) = 0.058 eV/atom

Cell lengths 4.674, 4.674, 4.674 Å; angles 60.00, 60.00, 60.00 degrees
Element x y z (fractional)
Li 0.000 0.000 0.000
Hf 0.250 0.250 0.250
Cu 0.750 0.750 0.750
Sb 0.500 0.500 0.500



Computed, not measured: an optimized crystal structure of Rb3In4Au4 at the PBE level of DFT.

Energy = -2.746 eV/atom

Cell lengths 7.661, 7.661, 7.661 Å; angles 109.47, 109.47, 109.47 degrees
Element x y z (fractional)
Rb 0.000 0.500 0.500
Rb 0.500 0.000 0.500
Rb 0.500 0.500 0.000
In 0.000 0.000 0.722
In 0.000 0.722 0.000
In 0.278 0.278 0.278
In 0.722 0.000 0.000
Au 0.000 0.000 0.360
Au 0.000 0.360 0.000
Au 0.360 0.000 0.000
Au 0.640 0.640 0.640



Computed, not measured: an optimized crystal structure of NdGdNb at the PBE level of DFT.

Energy = -5.698 eV/atom

Cell lengths 5.124, 5.124, 5.124 Å; angles 60.00, 60.00, 60.00 degrees
Element x y z (fractional)
Nd 0.000 0.000 0.000
Gd 0.500 0.500 0.500
Nb 0.750 0.750 0.750



Computed, not measured: an optimized crystal structure of Li2PuCu2S4 at the PBE level of DFT.

Energy = -5.661 eV/atom

Cell lengths 7.198, 7.198, 7.066 Å; angles 119.08, 119.08, 30.21 degrees
Element x y z (fractional)
Li 0.149 0.149 0.039
Li 0.851 0.851 0.961
Pu 0.000 0.000 0.500
Cu 0.321 0.321 0.525
Cu 0.679 0.679 0.475
S 0.224 0.224 0.720
S 0.491 0.491 0.225
S 0.509 0.509 0.775
S 0.776 0.776 0.280



Computed, not measured: an optimized crystal structure of LiAgPd at the PBE level of DFT.

Energy = -3.598 eV/atom
Polymorph energy (0 for the lowest one) = 0.000 eV/atom

Cell lengths 4.897, 4.897, 4.815 Å; angles 100.12, 100.12, 119.85 degrees
Element x y z (fractional)
Li 0.000 0.000 0.000
Li 0.673 0.327 0.000
Ag 0.331 0.669 0.000
Ag 0.505 0.495 0.500
Pd 0.167 0.833 0.500
Pd 0.837 0.163 0.500